(1)
5
Lattice="4.843 0.504 -0.607 -0.536 4.840 -0.607 -2.080 -2.580 6.597" Properties=species:S:1:pos:R:3 comment="LaPr2Pd2 | the Alexandria database | PBE | relaxed" ef_mev_per_atom=-433 space_group=C2/m total_magnetization_mub_per_fu=0.0 de_polymorph_mev_per_atom=171 pbc="T T T"
Pd 0.318 0.395 4.689
La 0.000 0.000 0.000
Pr -0.293 2.516 2.691
Pr 2.521 0.248 2.691
Pd 1.910 2.369 0.694

***

(2)
4
Lattice="-1.878 -0.231 3.019 -2.505 -1.877 -1.701 3.665 -6.507 1.782" Properties=species:S:1:pos:R:3 comment="Nd2TcAg | the Alexandria database | PBE | relaxed" ef_mev_per_atom=-60 space_group=P4/mmm total_magnetization_mub_per_fu=0.0 pbc="T T T"
Nd 2.849 -5.058 1.385
Nd 0.816 -1.448 0.397
Ag -0.359 -4.307 1.550
Tc -2.191 -1.054 0.659

***

(3)
4
Lattice="3.473 0.000 0.000 0.000 3.473 0.000 0.000 0.000 7.803" Properties=species:S:1:pos:R:3 comment="LiPuHgPb | the Alexandria database | PBE | relaxed" ef_mev_per_atom=-243 space_group=P4mm total_magnetization_mub_per_fu=5.8 de_polymorph_mev_per_atom=0 pbc="T T T"
Hg 1.736 1.736 2.818
Pb 1.736 1.736 6.126
Pu 0.000 0.000 0.642
Li 0.000 0.000 4.340

***

(4)
4
Lattice="-0.665 -3.338 3.269 3.419 -2.072 -1.420 2.439 2.168 2.710" Properties=species:S:1:pos:R:3 comment="YTa2Cd | the Alexandria database | PBE | relaxed" ef_mev_per_atom=368 space_group=P4/mmm total_magnetization_mub_per_fu=0.0 pbc="T T T"
Cd 0.887 -0.585 2.990
Ta 2.929 0.048 0.645
Y 1.377 -2.705 0.925
Ta 0.000 0.000 0.000

***

(5)
18
Lattice="5.911 0.000 0.000 0.000 5.911 0.000 0.000 0.000 10.503" Properties=species:S:1:pos:R:3 comment="HfTa4Nb4 | the Alexandria database | PBE | relaxed" ef_mev_per_atom=527 space_group=P4_2/nmc total_magnetization_mub_per_fu=0.0 pbc="T T T"
Ta 4.265 0.000 5.965
Nb 0.000 4.397 7.677
Ta 2.956 4.602 0.714
Ta 1.646 0.000 5.965
Ta 2.956 1.309 0.714
Hf 0.000 0.000 0.000
Ta 4.602 2.956 9.789
Ta 0.000 1.646 4.538
Hf 2.956 2.956 5.252
Nb 1.442 2.956 2.425
Ta 0.000 4.265 4.538
Nb 4.469 2.956 2.425
Nb 2.956 1.442 8.078
Nb 0.000 1.514 7.677
Ta 1.309 2.956 9.789
Nb 2.956 4.469 8.078
Nb 1.514 0.000 2.826
Nb 4.397 0.000 2.826

***

(6)
10
Lattice="-5.253 0.977 4.982 3.779 -3.451 4.673 1.191 3.135 6.490" Properties=species:S:1:pos:R:3 comment="Ba2MnGeAu6 | the Alexandria database | PBE | relaxed" ef_mev_per_atom=-398 space_group=P-1 total_magnetization_mub_per_fu=3.7 pbc="T T T"
Au -0.895 -0.233 10.855
Au 0.612 0.894 5.290
Ba 1.907 -0.422 8.429
Au -0.586 -0.120 2.536
Mn 0.000 0.000 0.000
Ba -2.190 1.083 7.715
Au 0.304 0.781 13.609
Au 1.625 -2.099 5.247
Ge -0.737 -1.237 4.827
Au -1.908 2.760 10.897